Entry from OQMD: an optimized crystal structure of DyAlHg2 (GGA-PBE).

Geometry as POSCAR:
```
DyAlHg2
1.0
3.2728 -5.6067 0.0000
3.2728 5.6067 0.0000
0.0000 0.0000 4.8891
Dy Al Hg
2 2 4
direct
0.8349 0.1651 0.2500 Dy
0.1651 0.8349 0.7500 Dy
0.3494 0.6506 0.2500 Al
0.6506 0.3494 0.7500 Al
0.3483 0.1670 0.2500 Hg
0.8330 0.6517 0.2500 Hg
0.6517 0.8330 0.7500 Hg
0.1670 0.3483 0.7500 Hg
```

Results
The calculation puts the raw total energy at -2.541 eV/atom. The value obtained for the volume is 179.4 Å³ per cell.